Compound: CoBOs
Source: the Alexandria database
Functional: PBE
Structure: relaxed

Cell and atoms, written as POSCAR:
```
CoBOs
1.0
-0.5135 -3.7128 -0.8247
2.9066 -0.9198 2.3312
-6.0592 -0.7724 7.2501
Co Os B
4 4 4
Cartesian
-2.8347 -2.2418 7.3885 Co
0.1951 -1.8538 3.7639 Co
-0.8314 -3.1632 1.3681 Co
-3.8613 -3.5512 4.9927 Co
-2.4313 -1.5445 4.0016 Os
-5.4609 -1.9303 7.6267 Os
-1.2348 -3.8604 4.7550 Os
1.7948 -3.4747 1.1299 Os
-1.5898 -2.0819 5.8994 B
1.4397 -1.6963 2.2742 B
-2.0763 -3.3231 2.8572 B
-5.1058 -3.7086 6.4824 B
```

Summary:
* E_form: 0.8 eV per formula unit
* V: 139.6 Å³/cell
* energy: -8.0614 eV per atom
* DOS(E_F): 9.02 states/eV/cell